No. 1
# YZr2Pb

YZr2Pb after structural relaxation (PBEsol, Alexandria via LeMat-Bulk).

a = 6.4044 Å, b = 9.1719 Å, c = 3.2424 Å
α = 90.00°, β = 90.00°, γ = 90.00°
Space group Cmmm (No. 65)
Symmetry-distinct sites (fractional):
Y 0.0000 0.0000 0.0000 [2 per cell]
Zr 0.2500 0.2500 0.5000 [4 per cell]
Pb 0.0000 0.5000 0.0000 [2 per cell]

Output
The value obtained for the final energy is -7.30 eV/atom. The total magnetic moment is 0.0 μB/cell. The calculation puts the formation enthalpy at 0 K at -19 kJ/mol of formula units.



No. 2
# Zn3Pb

Zn3Pb after structural relaxation (PBEsol, Alexandria via LeMat-Bulk).

a = 8.2849 Å, b = 3.2826 Å, c = 5.6894 Å
α = 90.00°, β = 102.05°, γ = 90.00°
Space group C2/m (No. 12)
Symmetry-distinct sites (fractional):
Zn 0.0000 0.0000 0.0000 [2 per cell]
Zn 0.2367 0.5000 0.1788 [4 per cell]
Pb 0.0000 0.5000 0.5000 [2 per cell]

Output
The value obtained for the final energy is -2.05 eV/atom. The total magnetic moment is 0.0 μB/cell. The calculation puts the formation enthalpy at 0 K at 54 kJ/mol of formula units.



No. 3
# ZnPb

ZnPb after structural relaxation (PBEsol, Alexandria via LeMat-Bulk).

a = 7.2179 Å, b = 7.2179 Å, c = 7.2179 Å
α = 90.00°, β = 90.00°, γ = 90.00°
Space group Fd-3m (No. 227, origin choice 2)
Symmetry-distinct sites (fractional):
Zn 0.1250 0.1250 0.1250 [8 per cell]
Pb 0.1250 0.1250 0.6250 [8 per cell]

Output
The value obtained for the final energy is -2.52 eV/atom. The total magnetic moment is 0.0 μB/cell. The calculation puts the formation enthalpy at 0 K at 52 kJ/mol of formula units.